Density functional theory data (PBE) for a relaxed structure of LiTiAl.

Output
Density of states at the Fermi level (states/eV/cell): 2.2
Total magnetic moment (μB/cell): 0.00
Density (kg/m3): 2788
Space-group type: I4mm (107)
Electronic total energy (eV for the cell shown): -13.8
ΔE_f (kJ/mol of formula units): -25

Cell lengths 2.8797, 2.8797, 6.2171 Å; angles 103.39, 103.39, 90.00 degrees
Closest atoms and distances in Å follow each position.
Element x y z (fractional)
Ti (0.6771, 0.6771, 0.3541)  4 Al 2.74, 4 Ti 2.88, 4 Li 3.00
Al (0.3336, 0.3336, 0.6672)  4 Li 2.74, 4 Ti 2.74, 4 Al 2.88
Li (0.9893, 0.9893, 0.9787)  4 Al 2.74, 4 Li 2.88, 4 Ti 3.00